(1)
A plane-wave DFT calculation with PBE was carried out for a geometry-optimized RbTmHgF6 structure.

CIF file:
```
data_RbTmHgF6
_cell_length_a 6.1487
_cell_length_b 6.1487
_cell_length_c 5.7059
_cell_angle_alpha 90.00
_cell_angle_beta 90.00
_cell_angle_gamma 120.00
_space_group_name_H-M_alt 'P 3 1 2'
_space_group_IT_number 149
loop_
_space_group_symop_operation_xyz
'x,y,z'
'-y,x-y,z'
'-x+y,-x,z'
'-y,-x,-z'
'-x+y,y,-z'
'x,x-y,-z'
loop_
_atom_site_label
_atom_site_type_symbol
_atom_site_fract_x
_atom_site_fract_y
_atom_site_fract_z
Rb1 Rb 0.0000 0.0000 0.0000
Tm1 Tm 0.3333 0.6667 0.5000
Hg1 Hg 0.6667 0.3333 0.5000
F1 F 0.0231 0.3893 0.7052
```

Summary:
**Formation energy without anion corrections**: -2.944 eV per atom
**N(E_F)**: 0.000 states/eV per atom

=====

(2)
A plane-wave DFT calculation with PBE was carried out for a geometry-optimized SmDyGe2Pd5 structure.

CIF file:
```
data_SmDyGe2Pd5
_cell_length_a 4.254
_cell_length_b 4.254
_cell_length_c 9.131
_cell_angle_alpha 90.00
_cell_angle_beta 90.00
_cell_angle_gamma 90.00
_space_group_name_H-M_alt 'P 4/m m m'
_space_group_IT_number 123
_space_group_name_Hall '-P 4 2'
loop_
_atom_site_label
_atom_site_type_symbol
_atom_site_fract_x
_atom_site_fract_y
_atom_site_fract_z
Sm1 Sm 0.000 0.000 0.000
Dy1 Dy 0.000 0.000 0.500
Ge1 Ge 0.500 0.500 0.366
Pd1 Pd 0.000 0.500 0.227
Pd2 Pd 0.500 0.500 0.000
```

Summary:
**Formation enthalpy at 0 K**: -79 kJ/mol of atoms
**N(E_F)**: 0.309 states/eV per atom

=====

(3)
A plane-wave DFT calculation with PBE was carried out for a geometry-optimized Er4TeSe2 structure.

CIF file:
```
data_Er4TeSe2
_cell_length_a 3.9965
_cell_length_b 3.9965
_cell_length_c 40.2757
_cell_angle_alpha 90.00
_cell_angle_beta 90.00
_cell_angle_gamma 120.00
_space_group_name_H-M_alt 'R -3 m'
_space_group_IT_number 166
_space_group_name_Hall '-R 3 2"'
loop_
_atom_site_label
_atom_site_type_symbol
_atom_site_fract_x
_atom_site_fract_y
_atom_site_fract_z
Er1 Er 0.0000 0.0000 0.1326
Er2 Er 0.0000 0.0000 0.2826
Te1 Te 0.0000 0.0000 0.0000
Se1 Se 0.0000 0.0000 0.4238
```

Summary:
**Formation energy without anion corrections**: -1.305 eV per atom
**Polymorph energy (0 for the lowest one)**: 0.0000 eV per atom
**N(E_F)**: 0.345 states/eV per atom

=====

(4)
A plane-wave DFT calculation with PBE was carried out for a geometry-optimized Dy2SiS structure.

CIF file:
```
data_Dy2SiS
_cell_length_a 4.074
_cell_length_b 21.667
_cell_length_c 3.889
_cell_angle_alpha 90.00
_cell_angle_beta 90.00
_cell_angle_gamma 90.00
_space_group_name_H-M_alt 'C m c m'
_space_group_IT_number 63
_space_group_name_Hall '-C 2c 2'
loop_
_atom_site_label
_atom_site_type_symbol
_atom_site_fract_x
_atom_site_fract_y
_atom_site_fract_z
Dy1 Dy 0.000 0.067 0.250
Dy2 Dy 0.000 0.320 0.250
Si1 Si 0.000 0.460 0.250
S1 S 0.000 0.192 0.250
```

Summary:
**Formation energy without anion corrections**: -1.413 eV per atom
**Polymorph energy (0 for the lowest one)**: 0.0000 eV per atom
**N(E_F)**: 0.516 states/eV per atom

=====

(5)
A plane-wave DFT calculation with PBE was carried out for a geometry-optimized K4Ga3Au2 structure.

CIF file:
```
data_K4Ga3Au2
_cell_length_a 17.906
_cell_length_b 4.329
_cell_length_c 7.866
_cell_angle_alpha 90.00
_cell_angle_beta 104.53
_cell_angle_gamma 90.00
_space_group_name_H-M_alt 'C 1 2/m 1'
_space_group_IT_number 12
loop_
_space_group_symop_operation_xyz
'x,y,z'
'-x,-y,-z'
'-x,y,-z'
'x,-y,z'
'x+1/2,y+1/2,z'
'-x+1/2,-y+1/2,-z'
'-x+1/2,y+1/2,-z'
'x+1/2,-y+1/2,z'
loop_
_atom_site_label
_atom_site_type_symbol
_atom_site_fract_x
_atom_site_fract_y
_atom_site_fract_z
K1 K 0.079 0.000 0.394
K2 K 0.234 0.500 0.192
Ga1 Ga 0.000 0.500 0.000
Ga2 Ga 0.101 0.500 0.771
Au1 Au 0.081 0.000 0.940
```

Summary:
**Formation enthalpy at 0 K**: -20 kJ/mol of atoms
**N(E_F)**: 0.452 states/eV per atom

=====

(6)
A plane-wave DFT calculation with PBE was carried out for a geometry-optimized Ir2PtCl structure.

CIF file:
```
data_Ir2PtCl
_cell_length_a 5.454
_cell_length_b 9.525
_cell_length_c 2.808
_cell_angle_alpha 90.00
_cell_angle_beta 120.24
_cell_angle_gamma 90.00
_space_group_name_H-M_alt 'C 1 2/m 1'
_space_group_IT_number 12
loop_
_space_group_symop_operation_xyz
'x,y,z'
'-x,-y,-z'
'-x,y,-z'
'x,-y,z'
'x+1/2,y+1/2,z'
'-x+1/2,-y+1/2,-z'
'-x+1/2,y+1/2,-z'
'x+1/2,-y+1/2,z'
loop_
_atom_site_label
_atom_site_type_symbol
_atom_site_fract_x
_atom_site_fract_y
_atom_site_fract_z
Ir1 Ir 0.250 0.250 0.000
Pt1 Pt 0.000 0.000 0.000
Cl1 Cl 0.000 0.500 0.000
```

Summary:
**Formation energy without anion corrections**: 0.875 eV per atom
**Polymorph energy (0 for the lowest one)**: 0.5322 eV per atom
**N(E_F)**: 1.181 states/eV per atom

=====

(7)
A plane-wave DFT calculation with PBE was carried out for a geometry-optimized TaCoSi2 structure.

CIF file:
```
data_TaCoSi2
_cell_length_a 4.468
_cell_length_b 2.814
_cell_length_c 4.776
_cell_angle_alpha 90.00
_cell_angle_beta 112.89
_cell_angle_gamma 90.00
_space_group_name_H-M_alt 'P 1 2/m 1'
_space_group_IT_number 10
loop_
_space_group_symop_operation_xyz
'x,y,z'
'-x,-y,-z'
'-x,y,-z'
'x,-y,z'
loop_
_atom_site_label
_atom_site_type_symbol
_atom_site_fract_x
_atom_site_fract_y
_atom_site_fract_z
Ta1 Ta 0.000 0.000 0.000
Co1 Co 0.000 0.500 0.500
Si1 Si 0.500 0.000 0.500
Si2 Si 0.500 0.500 0.000
```

Summary:
**Formation energy without anion corrections**: -0.132 eV per atom
**N(E_F)**: 0.835 states/eV per atom

=====

(8)
A plane-wave DFT calculation with PBE was carried out for a geometry-optimized Cs3Ce3TaS8 structure.

CIF file:
```
data_Cs3Ce3TaS8
_cell_length_a 8.1114
_cell_length_b 8.1114
_cell_length_c 24.7628
_cell_angle_alpha 90.00
_cell_angle_beta 90.00
_cell_angle_gamma 120.00
_space_group_name_H-M_alt 'R -3 m'
_space_group_IT_number 166
_space_group_name_Hall '-R 3 2"'
loop_
_atom_site_label
_atom_site_type_symbol
_atom_site_fract_x
_atom_site_fract_y
_atom_site_fract_z
Cs1 Cs 0.0000 0.5000 0.0000
Ce1 Ce 0.0000 0.5000 0.5000
Ta1 Ta 0.0000 0.0000 0.5000
S1 S 0.0000 0.0000 0.2297
S2 S 0.0309 0.5154 0.2243
```

Summary:
**Formation energy without anion corrections**: -1.571 eV per atom
**N(E_F)**: 1.315 states/eV per atom

=====

Question: Among the records above, which one has the lowest N(E_F)?
Answer: RbTmHgF6